Entry from the Alexandria database: an optimized crystal structure of As5Cl4 (GGA-PBE).

Structure (POSCAR):
```
As5Cl4
1.0
-6.7367 6.7367 1.7625
6.7367 -6.7367 1.7625
6.7367 6.7367 -1.7625
As Cl
5 4
Cartesian
0.0000 0.0000 0.0000 As
3.9177 3.9177 0.0000 As
2.8190 -2.8190 1.7625 As
-2.8190 2.8190 1.7625 As
2.8190 2.8190 1.7625 As
2.4587 0.0000 0.0000 Cl
11.0147 0.0000 0.0000 Cl
0.0000 2.4587 0.0000 Cl
0.0000 11.0147 0.0000 Cl
```

Spin magnetization = 0.00 μB/f.u.
Formation energy (no corrections) = -0.035 eV per atom


Entry from the Alexandria database: an optimized crystal structure of LiAc2Al4Ag3 (GGA-PBE).

Structure (POSCAR):
```
LiAc2Al4Ag3
1.0
4.5760 0.0000 0.0000
0.0000 4.5760 0.0000
0.0000 0.0000 10.8666
Li Ac Al Ag
1 2 4 3
Cartesian
0.0000 0.0000 0.0000 Li
0.0000 2.2880 8.1680 Ac
2.2880 0.0000 2.6986 Ac
0.0000 0.0000 5.4333 Al
0.0000 2.2880 1.4044 Al
2.2880 0.0000 9.4622 Al
2.2880 2.2880 5.4333 Al
0.0000 2.2880 4.0358 Ag
2.2880 0.0000 6.8308 Ag
2.2880 2.2880 0.0000 Ag
```

Spin magnetization = 0.00 μB/f.u.
E_form = -0.29 eV/atom


Entry from the Alexandria database: an optimized crystal structure of Cs2TiZnO4 (GGA-PBE).

Structure (POSCAR):
```
Cs2TiZnO4
1.0
0.0000 6.4025 10.9534
2.5740 0.0000 10.9534
2.5740 6.4025 0.0000
Cs Ti Zn O
4 2 2 8
Cartesian
1.9305 4.8018 1.0396 Cs
3.2175 8.0031 6.5163 Cs
1.9305 4.8018 15.3905 Cs
3.2175 8.0031 20.8672 Cs
1.9305 4.8018 8.2150 Ti
3.2175 8.0031 13.6917 Ti
0.6435 1.6006 2.7383 Zn
4.5045 11.2043 19.1684 Zn
3.1050 3.7614 7.2344 O
3.1050 5.8423 9.1956 O
4.3920 6.9626 14.6723 O
4.3920 9.0436 12.7111 O
0.7560 3.7614 9.1956 O
0.7560 5.8423 7.2344 O
2.0430 6.9626 12.7111 O
2.0430 9.0436 14.6723 O
```

Spin magnetization = 0.00 μB/f.u.
Formation energy (no corrections) = -2.064 eV per atom


Q: Number 1 is which compound?
A: As5Cl4